[1]
## PaAg2OsO6 (PBE-GGA)

Data for a relaxed PaAg2OsO6 crystal.

abc: 4.243 5.843 5.843
angles: 90.00 90.00 90.00
Last column: magnetic moment on the atom in μB.
Positions (direct):
1 O 0.666 0.764 0.236  0.08
2 O 0.666 0.236 0.236  0.08
3 O 0.154 0.500 0.500  0.02
4 Ag 0.082 0.000 0.500  0.03
5 O 0.666 0.764 0.764  0.08
6 Os 0.628 0.000 0.000  1.70
7 O 0.666 0.236 0.764  0.08
8 Pa 0.651 0.500 0.500  0.14
9 Ag 0.082 0.500 0.000  0.03
10 O 0.186 0.000 0.000  0.23

Properties
* N(E_F): 2.61 states/eV per cell
* energy relative to the elements, uncorrected: -1429 meV/atom
* total DFT energy (no corrections): -70.47 eV per cell
* space group: P4mm (99)

---

[2]
## Ag2OsPb2O6 (PBE-GGA)

Data for a relaxed Ag2OsPb2O6 crystal.

abc: 6.151 6.151 6.451
angles: 85.73 85.73 120.85
Last column: magnetic moment on the atom in μB.
Positions (direct):
1 O 0.761 0.034 0.328  0.02
2 O 0.966 0.239 0.672  0.02
3 O 0.704 0.704 0.656  0.07
4 Ag 0.863 0.137 0.000  0.02
5 Os 0.000 0.000 0.500  1.03
6 O 0.034 0.761 0.328  0.02
7 Ag 0.137 0.863 0.000  0.02
8 O 0.239 0.966 0.672  0.02
9 Pb 0.663 0.337 0.500  0.01
10 O 0.296 0.296 0.344  0.07
11 Pb 0.337 0.663 0.500  0.01

Properties
* N(E_F): 4.07 states/eV per cell
* energy relative to the elements, uncorrected: -758 meV/atom
* total DFT energy (no corrections): -62.44 eV per cell
* space group: C2/m (12)

---

[3]
## AgOsPb2O6 (PBE-GGA)

Data for a relaxed AgOsPb2O6 crystal.

abc: 6.145 6.145 9.878
angles: 71.88 71.88 60.00
Last column: magnetic moment on the atom in μB.
Positions (direct):
1 O 0.385 0.842 0.387  0.01
2 O 0.385 0.385 0.387  0.01
3 Ag 0.631 0.631 0.106  0.00
4 O 0.181 0.181 0.871  0.00
5 O 0.615 0.615 0.613  0.01
6 Pb 0.120 0.120 0.641  0.00
7 O 0.768 0.181 0.871  0.00
8 O 0.232 0.819 0.129  0.00
9 O 0.181 0.768 0.871  0.00
10 O 0.819 0.819 0.129  0.00
11 Os 0.000 0.000 0.000  -0.01
12 Os 0.500 0.500 0.500  0.16
13 Pb 0.745 0.745 0.766  0.00
14 Pb 0.880 0.880 0.359  0.00
15 O 0.819 0.232 0.129  0.00
16 O 0.615 0.158 0.613  0.01
17 Ag 0.369 0.369 0.894  0.00
18 O 0.158 0.615 0.613  0.01
19 O 0.842 0.385 0.387  0.01
20 Pb 0.255 0.255 0.234  0.00

Properties
* N(E_F): 7.54 states/eV per cell
* energy relative to the elements, uncorrected: -767 meV/atom
* total DFT energy (no corrections): -117.84 eV per cell
* space group: R-3m (166)

---

[4]
## PmAgOsO6 (PBE-GGA)

Data for a relaxed PmAgOsO6 crystal.

abc: 5.663 5.663 4.749
angles: 89.91 90.09 59.92
Positions (direct):
1 Os 0.333 0.333 0.500
2 Ag 0.000 0.000 0.000
3 O 0.338 0.605 0.274
4 O 0.340 0.056 0.726
5 Pm 0.666 0.666 0.500
6 O 0.056 0.340 0.274
7 O 0.605 0.056 0.274
8 O 0.056 0.605 0.726
9 O 0.605 0.338 0.726

Properties
* energy relative to the elements, uncorrected: -1375 meV/atom
* total DFT energy (no corrections): -60.95 eV per cell
* space group: C2 (5)

---

[5]
## PmAg2OsO6 (PBE-GGA)

Data for a relaxed PmAg2OsO6 crystal.

abc: 5.734 5.763 8.279
angles: 90.00 90.83 90.00
Positions (direct):
1 O 0.846 0.786 0.954
2 Pm 0.500 0.000 0.000
3 O 0.583 0.037 0.277
4 O 0.417 0.963 0.723
5 O 0.286 0.660 0.042
6 Os 0.000 0.500 0.000
7 O 0.346 0.714 0.454
8 O 0.154 0.214 0.046
9 O 0.917 0.537 0.223
10 Ag 0.506 0.486 0.251
11 O 0.786 0.840 0.542
12 O 0.654 0.286 0.546
13 Pm 0.000 0.500 0.500
14 O 0.214 0.160 0.458
15 Os 0.500 0.000 0.500
16 Ag 0.494 0.514 0.749
17 Ag 0.994 0.986 0.249
18 Ag 0.006 0.014 0.751
19 O 0.083 0.463 0.777
20 O 0.714 0.340 0.958

Properties
* N(E_F): 8.21 states/eV per cell
* energy relative to the elements, uncorrected: -1264 meV/atom
* total DFT energy (no corrections): -128.15 eV per cell
* space group: P2_1/c (14)

---

[6]
## PrAgOsO6 (PBE-GGA)

Data for a relaxed PrAgOsO6 crystal.

abc: 5.586 5.975 4.776
angles: 82.69 89.04 57.35
Positions (direct):
1 O 0.314 0.077 0.730
2 O 0.017 0.429 0.261
3 Os 0.336 0.336 0.474
4 Ag 0.993 0.949 0.990
5 Pr 0.648 0.664 0.596
6 O 0.085 0.602 0.704
7 O 0.644 0.280 0.712
8 O 0.588 0.059 0.283
9 O 0.375 0.603 0.250

Properties
* N(E_F): 0.14 states/eV per cell
* energy relative to the elements, uncorrected: -1358 meV/atom
* total DFT energy (no corrections): -60.83 eV per cell
* space group: P1 (1)

---

[7]
## PuAgOsO6 (PBE-GGA)

Data for a relaxed PuAgOsO6 crystal.

abc: 5.440 5.440 9.779
angles: 90.00 90.00 120.00
Last column: magnetic moment on the atom in μB.
Positions (direct):
1 Ag 0.000 0.000 0.500  0.00
2 O 0.027 0.650 0.361  -0.02
3 O 0.350 0.973 0.139  -0.02
4 O 0.378 0.027 0.639  -0.02
5 O 0.973 0.622 0.861  -0.02
6 Os 0.667 0.333 0.750  0.64
7 Pu 0.333 0.667 0.750  3.54
8 O 0.378 0.350 0.861  -0.02
9 O 0.027 0.378 0.139  -0.02
10 O 0.622 0.973 0.361  -0.02
11 O 0.622 0.650 0.139  -0.02
12 Pu 0.667 0.333 0.250  3.54
13 O 0.973 0.350 0.639  -0.02
14 O 0.650 0.027 0.861  -0.02
15 Os 0.333 0.667 0.250  0.64
16 O 0.650 0.622 0.639  -0.02
17 O 0.350 0.378 0.361  -0.02
18 Ag 0.000 0.000 0.000  0.00

Properties
* N(E_F): 14.92 states/eV per cell
* energy relative to the elements, uncorrected: -1468 meV/atom
* total DFT energy (no corrections): -142.74 eV per cell
* space group: P-31c (163)

---

[8]
## Rb3AgOs2O8 (PBE-GGA)

Data for a relaxed Rb3AgOs2O8 crystal.

abc: 6.201 6.201 8.143
angles: 90.00 90.00 120.00
Last column: magnetic moment on the atom in μB.
Positions (direct):
1 Os 0.333 0.667 0.213  1.10
2 O 0.177 0.354 0.303  0.17
3 Rb 0.333 0.667 0.654  0.01
4 O 0.823 0.646 0.697  0.17
5 O 0.177 0.823 0.303  0.17
6 Rb 0.000 0.000 0.000  0.00
7 Ag 0.000 0.000 0.500  0.03
8 O 0.333 0.667 0.994  0.13
9 O 0.354 0.177 0.697  0.17
10 Os 0.667 0.333 0.787  1.10
11 O 0.823 0.177 0.697  0.17
12 Rb 0.667 0.333 0.346  0.01
13 O 0.667 0.333 0.006  0.13
14 O 0.646 0.823 0.303  0.17

Properties
* energy relative to the elements, uncorrected: -1117 meV/atom
* total DFT energy (no corrections): -83.51 eV per cell
* space group: P-3m1 (164)

---

Q: What is the total DFT energy (no corrections) in the eighth record?
A: -83.51 eV per cell